No. 1
First-principles (PBE-GGA) data for an optimized crystal structure of Sr3CaBi4, as listed in Alexandria.

The space group is Immm (No. 71) and the conventional cell measures 4.8019, 7.1018 and 18.7316 Å, with angles of 90.00, 90.00 and 90.00 degrees. Symmetry generates all atoms from Sr at (0.0000, 0.0000, 0.0000), Sr at (0.0000, 0.5000, 0.2080), Ca at (0.0000, 0.0000, 0.5000) and Bi at (0.0000, 0.2797, 0.3729).

The density of states at the Fermi level is 0.41 states/eV/atom. As for the magnetization: 0.00 μB per atom. The volume is 39.9 Å³/atom. The value obtained for the formation energy is -0.686 eV/atom.



No. 2
First-principles (PBE-GGA) data for an optimized crystal structure of BiPIrS2, as listed in Alexandria.

The space group is P4/mmm (No. 123) and the conventional cell measures 5.0631, 5.0631 and 5.2674 Å, with angles of 90.00, 90.00 and 90.00 degrees. Symmetry generates all atoms from Bi at (0.0000, 0.0000, 0.0000), P at (0.0000, 0.0000, 0.5000), Ir at (0.5000, 0.5000, 0.5000) and S at (0.0000, 0.5000, 0.0000).

The uncorrected formation energy is 1801 meV per atom. The density of states at the Fermi level is 1.34 states/eV/atom. As for the magnetization: 0.52 μB per atom. Its energy relative to the lowest polymorph listed for this composition is 1.461 eV per atom. The volume is 27.0 Å³/atom.



Q: Which value of magnetization does entry 1 give?
A: 0.00 μB per atom